[1]
The following is a DFT calculation (PBE) of a relaxed structure of FeCoPt.

a = 4.157 Å, b = 4.157 Å, c = 2.621 Å
α = 90.00°, β = 90.00°, γ = 120.00°
Element x y z (fractional)
Fe  0.000  0.000  0.000
Co  0.333  0.667  0.998
Pt  0.667  0.333  0.498

Calculated values
- DFT formation energy (eV/atom) = -0.09
- symmetry = P3m1
- energy above the lowest structure with this stoichiometry (kJ/mol of formula units) = 7
- magnetization (μB/f.u.) = 4.95

---

[2]
The following is a DFT calculation (PBE) of a relaxed structure of FeCo5Pt2.

a = 7.498 Å, b = 7.498 Å, c = 3.762 Å
α = 104.47°, β = 104.47°, γ = 29.06°
Element x y z (fractional)
Fe  0.000  0.000  0.000
Co  0.115  0.115  0.615
Co  0.385  0.385  0.885
Co  0.500  0.500  0.500
Co  0.615  0.615  0.115
Co  0.885  0.885  0.385
Pt  0.250  0.250  0.250
Pt  0.750  0.750  0.750

Calculated values
- DFT formation energy (eV/atom) = -0.02
- symmetry = C2/m
- magnetization (μB/f.u.) = 12.09

---

[3]
The following is a DFT calculation (PBE) of a relaxed structure of FeCo2Pt.

a = 4.518 Å, b = 4.518 Å, c = 4.518 Å
α = 131.90°, β = 131.90°, γ = 70.39°
Element x y z (fractional)
Fe  0.000  0.000  0.000
Co  0.250  0.750  0.500
Co  0.750  0.250  0.500
Pt  0.500  0.500  0.000

Calculated values
- DFT formation energy (eV/atom) = -0.09
- symmetry = I4/mmm
- magnetization (μB/f.u.) = 6.56

---

[4]
The following is a DFT calculation (PBE) of a relaxed structure of FeCo2Pt.

a = 7.520 Å, b = 7.520 Å, c = 7.520 Å
α = 159.27°, β = 159.27°, γ = 29.48°
Element x y z (fractional)
Fe  0.000  0.000  0.000
Co  0.398  0.398  0.000
Co  0.602  0.602  0.000
Pt  0.750  0.250  0.500

Calculated values
- DFT formation energy (eV/atom) = 0.19
- symmetry = I-4m2
- magnetization (μB/f.u.) = 6.31